Density functional theory data (GGA-PBE) for crystalline SrSn2Br8 at its relaxed geometry.

Structure (extended XYZ):
```
11
Lattice="6.987 -5.423 0.000 6.987 5.423 0.000 -1.191 0.000 6.841" Properties=species:S:1:pos:R:3 pbc="T T T"
Sr 0.000 0.000 0.000
Sn 2.336 0.000 4.691
Sn 10.447 0.000 2.150
Br 5.199 3.462 1.599
Br 2.373 0.000 1.990
Br 7.584 3.462 5.242
Br 4.686 0.000 6.068
Br 8.097 0.000 0.773
Br 5.199 -3.462 1.599
Br 10.410 0.000 4.851
Br 7.584 -3.462 5.242
```

For the total magnetization, the calculation gives 0.00 μB per cell. As for the uncorrected formation energy: -0.986 eV/atom. The value obtained for the total energy is -3.08 eV per atom.

---

Density functional theory data (GGA-PBE) for crystalline AgAsPt2 at its relaxed geometry.

Structure (extended XYZ):
```
4
Lattice="-1.994 1.994 4.183 1.994 -1.994 4.183 1.994 1.994 -4.183" Properties=species:S:1:pos:R:3 pbc="T T T"
Ag 0.000 0.000 0.000
As 1.994 0.000 2.091
Pt 0.000 0.000 4.183
Pt 0.000 1.994 2.091
```

For the total magnetization, the calculation gives 0.00 μB per cell. Its density of states at the Fermi level is 2.86 states/eV/cell. As for the formation energy: 0.067 eV per atom. The value obtained for the total energy is -4.83 eV per atom.